Compound: CdAu6
Source: Alexandria
Functional: PBE
Structure: optimized geometry

abc: 6.502 6.502 6.502
angles: 109.47 109.47 109.47
Element x y z (fractional)
Cd (0.000, 0.000, 0.000)
Au (0.250, 0.750, 0.500)
Au (0.500, 0.750, 0.250)
Au (0.250, 0.500, 0.750)
Au (0.750, 0.250, 0.500)
Au (0.500, 0.250, 0.750)
Au (0.750, 0.500, 0.250)

Output
Total DFT energy (no corrections) (eV/cell): -16.5
Polymorph energy (0 for the lowest one) (eV/atom): 0.615
Symmetry: No. 229
Total magnetization (Bohr magnetons per cell): 0.00
Formation energy (eV/atom): 0.59



Compound: GaPb8
Source: Alexandria
Functional: PBE
Structure: optimized geometry

abc: 3.560 8.969 8.969
angles: 87.74 78.55 78.55
Element x y z (fractional)
Ga (0.000, 0.000, 0.000)
Pb (0.659, 0.000, 0.683)
Pb (0.341, 0.000, 0.317)
Pb (0.333, 0.667, 0.667)
Pb (0.659, 0.683, 0.000)
Pb (0.000, 0.667, 0.333)
Pb (0.341, 0.317, 0.000)
Pb (0.667, 0.333, 0.333)
Pb (0.000, 0.333, 0.667)

Output
Total DFT energy (no corrections) (eV/cell): -32.2
Symmetry: No. 139
Total magnetization (Bohr magnetons per cell): 0.00
Formation energy (eV/atom): 0.06



Compound: HfPdOF2
Source: Alexandria
Functional: PBE
Structure: optimized geometry

abc: 4.193 4.193 4.100
angles: 90.00 90.00 90.00
Element x y z (fractional)
Hf (0.500, 0.500, 0.500)
O (0.000, 0.000, 0.500)
Pd (0.000, 0.000, 0.000)
F (0.000, 0.500, 0.000)
F (0.500, 0.000, 0.000)

Output
Total DFT energy (no corrections) (eV/cell): -26.6
Polymorph energy (0 for the lowest one) (eV/atom): 1.722
Symmetry: No. 123
Total magnetization (Bohr magnetons per cell): 0.00



Compound: Nd2SbAs3Pt4
Source: Alexandria
Functional: PBE
Structure: optimized geometry

abc: 4.492 4.492 10.252
angles: 90.00 90.00 90.00
Element x y z (fractional)
Nd (0.500, 0.000, 0.235)
Nd (0.000, 0.500, 0.765)
Sb (0.500, 0.500, 0.500)
As (0.000, 0.000, 0.500)
As (0.500, 0.000, 0.875)
As (0.000, 0.500, 0.125)
Pt (0.500, 0.500, 0.000)
Pt (0.000, 0.000, 0.000)
Pt (0.500, 0.000, 0.636)
Pt (0.000, 0.500, 0.364)

Output
Total DFT energy (no corrections) (eV/cell): -60.1
Symmetry: No. 115
Total magnetization (Bohr magnetons per cell): 0.00



Compound: Li2PmPb
Source: Alexandria
Functional: PBE
Structure: optimized geometry

abc: 4.962 4.531 4.531
angles: 90.00 90.00 90.00
Element x y z (fractional)
Pb (0.500, 0.500, 0.500)
Li (0.000, 0.000, 0.500)
Li (0.000, 0.500, 0.000)
Pm (0.500, 0.000, 0.000)

Output
Total DFT energy (no corrections) (eV/cell): -13.3
Symmetry: No. 123
Total magnetization (Bohr magnetons per cell): 0.00
Formation energy (eV/atom): -0.26



Compound: HfZrAu2
Source: Alexandria
Functional: PBE
Structure: optimized geometry

abc: 4.088 3.081 6.937
angles: 115.98 90.00 90.00
Element x y z (fractional)
Hf (0.500, 0.500, 0.000)
Zr (0.500, 0.000, 0.500)
Au (0.000, 0.245, 0.245)
Au (0.000, 0.755, 0.755)

Output
Total DFT energy (no corrections) (eV/cell): -26.9
Polymorph energy (0 for the lowest one) (eV/atom): 0.000
Symmetry: No. 10
Total magnetization (Bohr magnetons per cell): 0.00
Formation energy (eV/atom): -0.45